--- A ---
A crystal of SrRu2Br relaxed with PBEsol, computed with meta-GGA SCAN.

Calculated values
The symmetry is Amm2. For the volume, the calculation gives 83 Å³ per cell. The calculation puts the density at 7.376 g cm⁻³.

a = 3.299 Å, b = 7.886 Å, c = 7.886 Å
α = 23.94°, β = 90.00°, γ = 90.00°
Positions (direct):
Sr1 0.000 0.000 0.000
Ru1 0.000 0.210 0.210
Ru2 0.500 0.649 0.649
Br1 0.500 0.371 0.371

--- B ---
A crystal of SrRu2Br relaxed with PBEsol, computed with meta-GGA SCAN.

Calculated values
The symmetry is Imm2. For the volume, the calculation gives 91 Å³ per cell. The calculation puts the density at 6.767 g cm⁻³.

a = 5.497 Å, b = 5.497 Å, c = 5.497 Å
α = 140.47°, β = 118.55°, γ = 75.57°
Positions (direct):
Sr1 0.000 0.000 0.000
Ru1 0.514 0.514 0.000
Ru2 0.667 0.167 0.500
Br1 0.296 0.796 0.500

Bottom line: A, by a margin of 0.279 eV/atom.

--- A ---
A crystal of SrRuBr2 relaxed with PBEsol, computed with meta-GGA SCAN.

Calculated values
The symmetry is Cm. For the volume, the calculation gives 107 Å³ per cell. The calculation puts the density at 5.403 g cm⁻³.

a = 5.953 Å, b = 5.953 Å, c = 5.141 Å
α = 92.23°, β = 92.23°, γ = 36.04°
Positions (direct):
Sr1 0.000 0.000 0.000
Ru1 0.700 0.700 0.813
Br1 0.273 0.273 0.071
Br2 0.525 0.525 0.503

--- B ---
A crystal of SrRuBr2 relaxed with PBEsol, computed with meta-GGA SCAN.

Calculated values
The symmetry is Imm2. For the volume, the calculation gives 98 Å³ per cell. The calculation puts the density at 5.896 g cm⁻³.

a = 7.594 Å, b = 7.594 Å, c = 7.594 Å
α = 153.43°, β = 149.86°, γ = 40.61°
Positions (direct):
Sr1 0.000 0.000 0.000
Ru1 0.820 0.320 0.500
Br1 0.335 0.835 0.500
Br2 0.608 0.608 0.000

Bottom line: A, by a margin of 0.046 eV/atom.

--- A ---
A crystal of TaRuBr2 relaxed with PBEsol, computed with meta-GGA SCAN.

Calculated values
The symmetry is P4/mmm. For the volume, the calculation gives 65 Å³ per cell. The calculation puts the density at 11.271 g cm⁻³.

a = 3.214 Å, b = 3.214 Å, c = 6.302 Å
α = 90.00°, β = 90.00°, γ = 90.00°
Positions (direct):
Ta1 0.000 0.000 0.000
Ru1 0.000 0.000 0.500
Br1 0.500 0.500 0.247
Br2 0.500 0.500 0.753

--- B ---
A crystal of TaRuBr2 relaxed with PBEsol, computed with meta-GGA SCAN.

Calculated values
The symmetry is R-3m. For the volume, the calculation gives 76 Å³ per cell. The calculation puts the density at 9.669 g cm⁻³.

a = 8.966 Å, b = 8.966 Å, c = 8.966 Å
α = 20.29°, β = 20.29°, γ = 20.29°
Positions (direct):
Ta1 0.000 0.000 0.000
Ru1 0.500 0.500 0.500
Br1 0.095 0.095 0.095
Br2 0.905 0.905 0.905

--- C ---
A crystal of TaRuBr2 relaxed with PBEsol, computed with meta-GGA SCAN.

Calculated values
The symmetry is Cm. For the volume, the calculation gives 90 Å³ per cell. The calculation puts the density at 8.139 g cm⁻³.

a = 3.568 Å, b = 3.568 Å, c = 9.146 Å
α = 104.29°, β = 104.29°, γ = 53.67°
Positions (direct):
Ta1 0.000 0.000 0.000
Ru1 0.789 0.789 0.169
Br1 0.309 0.309 0.771
Br2 0.460 0.460 0.394

Bottom line: C, by a margin of 1.110 eV/atom.

--- A ---
A crystal of TcRuBr relaxed with PBEsol, computed with meta-GGA SCAN.

Calculated values
The symmetry is F-43m. For the volume, the calculation gives 52 Å³ per cell. The calculation puts the density at 8.870 g cm⁻³.

a = 4.196 Å, b = 4.196 Å, c = 4.196 Å
α = 60.00°, β = 60.00°, γ = 60.00°
Positions (direct):
Tc1 0.000 0.000 0.000
Ru1 0.750 0.750 0.750
Br1 0.500 0.500 0.500

--- B ---
A crystal of TcRuBr relaxed with PBEsol, computed with meta-GGA SCAN.

Calculated values
The symmetry is P3m1. For the volume, the calculation gives 44 Å³ per cell. The calculation puts the density at 10.422 g cm⁻³.

a = 4.157 Å, b = 4.157 Å, c = 2.971 Å
α = 90.00°, β = 90.00°, γ = 120.00°
Positions (direct):
Tc1 0.000 0.000 0.000
Ru1 0.333 0.667 0.517
Br1 0.667 0.333 0.188

Bottom line: B, by a margin of 0.117 eV/atom.

--- A ---
A crystal of TcRuBr2 relaxed with PBEsol, computed with meta-GGA SCAN.

Calculated values
The symmetry is Pmmm. For the volume, the calculation gives 69 Å³ per cell. The calculation puts the density at 8.689 g cm⁻³.

a = 2.945 Å, b = 4.260 Å, c = 5.467 Å
α = 90.00°, β = 90.00°, γ = 90.00°
Positions (direct):
Tc1 0.000 0.000 0.000
Ru1 0.500 0.000 0.500
Br1 0.000 0.500 0.500
Br2 0.500 0.500 0.000

--- B ---
A crystal of TcRuBr2 relaxed with PBEsol, computed with meta-GGA SCAN.

Calculated values
The symmetry is I-4m2. For the volume, the calculation gives 66 Å³ per cell. The calculation puts the density at 8.995 g cm⁻³.

a = 5.501 Å, b = 5.501 Å, c = 5.501 Å
α = 140.70°, β = 140.70°, γ = 56.80°
Positions (direct):
Tc1 0.000 0.000 0.000
Ru1 0.250 0.750 0.500
Br1 0.500 0.500 0.000
Br2 0.750 0.250 0.500

--- C ---
A crystal of TcRuBr2 relaxed with PBEsol, computed with meta-GGA SCAN.

Calculated values
The symmetry is R3m. For the volume, the calculation gives 73 Å³ per cell. The calculation puts the density at 8.183 g cm⁻³.

a = 9.517 Å, b = 9.517 Å, c = 9.517 Å
α = 18.12°, β = 18.12°, γ = 18.12°
Positions (direct):
Tc1 0.000 0.000 0.000
Ru1 0.263 0.263 0.263
Br1 0.524 0.524 0.524
Br2 0.736 0.736 0.736

Bottom line: C, by a margin of 0.638 eV/atom.

--- A ---
A crystal of Te2RuBr relaxed with PBEsol, computed with meta-GGA SCAN.

Calculated values
The symmetry is P4/mmm. For the volume, the calculation gives 82 Å³ per cell. The calculation puts the density at 8.793 g cm⁻³.

a = 5.109 Å, b = 5.109 Å, c = 3.155 Å
α = 90.00°, β = 90.00°, γ = 90.00°
Positions (direct):
Te1 0.000 0.500 0.000
Te2 0.500 0.000 0.000
Ru1 0.000 0.000 0.500
Br1 0.500 0.500 0.500

--- B ---
A crystal of Te2RuBr relaxed with PBEsol, computed with meta-GGA SCAN.

Calculated values
The symmetry is P4mm. For the volume, the calculation gives 107 Å³ per cell. The calculation puts the density at 6.800 g cm⁻³.

a = 3.656 Å, b = 3.656 Å, c = 7.971 Å
α = 90.00°, β = 90.00°, γ = 90.00°
Positions (direct):
Te1 0.000 0.000 0.000
Te2 0.500 0.500 0.355
Ru1 0.500 0.500 0.040
Br1 0.000 0.000 0.666

--- C ---
A crystal of Te2RuBr relaxed with PBEsol, computed with meta-GGA SCAN.

Calculated values
The symmetry is I4/mmm. For the volume, the calculation gives 91 Å³ per cell. The calculation puts the density at 7.948 g cm⁻³.

a = 4.915 Å, b = 4.915 Å, c = 4.915 Å
α = 111.32°, β = 111.32°, γ = 105.83°
Positions (direct):
Te1 0.000 0.500 0.500
Te2 0.500 0.000 0.500
Ru1 0.000 0.000 0.000
Br1 0.500 0.500 0.000

--- D ---
A crystal of Te2RuBr relaxed with PBEsol, computed with meta-GGA SCAN.

Calculated values
The symmetry is Cmmm. For the volume, the calculation gives 85 Å³ per cell. The calculation puts the density at 8.495 g cm⁻³.

a = 5.266 Å, b = 5.266 Å, c = 3.330 Å
α = 90.00°, β = 90.00°, γ = 112.57°
Positions (direct):
Te1 0.000 0.500 0.000
Te2 0.500 0.000 0.000
Ru1 0.000 0.000 0.500
Br1 0.500 0.500 0.500

Bottom line: B, by a margin of 0.369 eV/atom.

--- A ---
A crystal of Te2RuBr relaxed with PBEsol, computed with meta-GGA SCAN.

Calculated values
The symmetry is R-3m. For the volume, the calculation gives 112 Å³ per cell. The calculation puts the density at 6.489 g cm⁻³.

a = 8.359 Å, b = 8.359 Å, c = 8.359 Å
α = 27.73°, β = 27.73°, γ = 27.73°
Positions (direct):
Te1 0.115 0.115 0.115
Te2 0.885 0.885 0.885
Ru1 0.500 0.500 0.500
Br1 0.000 0.000 0.000

--- B ---
A crystal of Te2RuBr relaxed with PBEsol, computed with meta-GGA SCAN.

Calculated values
The symmetry is F-43m. For the volume, the calculation gives 85 Å³ per cell. The calculation puts the density at 8.556 g cm⁻³.

a = 4.929 Å, b = 4.929 Å, c = 4.929 Å
α = 60.00°, β = 60.00°, γ = 60.00°
Positions (direct):
Te1 0.000 0.000 0.000
Te2 0.250 0.250 0.250
Ru1 0.500 0.500 0.500
Br1 0.750 0.750 0.750

Bottom line: A, by a margin of 1.025 eV/atom.

--- A ---
A crystal of TlRu2Br relaxed with PBEsol, computed with meta-GGA SCAN.

Calculated values
The symmetry is P4/mmm. For the volume, the calculation gives 65 Å³ per cell. The calculation puts the density at 12.341 g cm⁻³.

a = 3.139 Å, b = 3.139 Å, c = 6.642 Å
α = 90.00°, β = 90.00°, γ = 90.00°
Positions (direct):
Tl1 0.000 0.000 0.000
Ru1 0.500 0.500 0.270
Ru2 0.500 0.500 0.730
Br1 0.000 0.000 0.500

--- B ---
A crystal of TlRu2Br relaxed with PBEsol, computed with meta-GGA SCAN.

Calculated values
The symmetry is P4/mmm. For the volume, the calculation gives 66 Å³ per cell. The calculation puts the density at 12.169 g cm⁻³.

a = 4.579 Å, b = 4.579 Å, c = 3.166 Å
α = 90.00°, β = 90.00°, γ = 90.00°
Positions (direct):
Tl1 0.000 0.000 0.000
Ru1 0.000 0.500 0.500
Ru2 0.500 0.000 0.500
Br1 0.500 0.500 0.000

Bottom line: A, by a margin of 0.053 eV/atom.